1.
{"formula": "La2Mg12Au7", "functional": "GGA-PBE", "state": "relaxed", "lattice": [[11.1223, 0.0000, 0.0000], [-5.5611, 9.6322, 0.0000], [0.0000, 0.0000, 4.2630]], "species": ["La", "La", "Mg", "Mg", "Mg", "Mg", "Mg", "Mg", "Mg", "Mg", "Mg", "Mg", "Mg", "Mg", "Au", "Au", "Au", "Au", "Au", "Au", "Au"], "fractional_positions": [[0.0000, 0.0000, 0.0000], [0.3333, 0.6667, 0.5000], [0.0517, 0.7621, 0.5000], [0.0991, 0.3828, 0.0000], [0.2379, 0.2896, 0.5000], [0.2838, 0.9009, 0.0000], [0.3885, 0.2152, 0.0000], [0.5371, 0.1106, 0.5000], [0.5735, 0.4629, 0.5000], [0.6172, 0.7162, 0.0000], [0.7104, 0.9483, 0.5000], [0.7848, 0.1732, 0.0000], [0.8268, 0.6115, 0.0000], [0.8894, 0.4265, 0.5000], [0.0825, 0.6186, 0.0000], [0.2464, 0.0415, 0.5000], [0.3814, 0.4639, 0.0000], [0.5361, 0.9175, 0.0000], [0.6667, 0.3333, 0.0000], [0.7950, 0.7536, 0.5000], [0.9585, 0.2050, 0.5000]], "formation_energy_ev_per_atom": -0.577, "dft_energy_ev_per_cell": -64.056}

2.
{"formula": "PuHg2Au", "functional": "GGA-PBE", "state": "relaxed", "lattice": [[-2.4036, 2.4036, 8.4580], [2.4036, -2.4036, 8.4580], [2.4036, 2.4036, -8.4580]], "species": ["Pu", "Pu", "Hg", "Hg", "Hg", "Hg", "Au", "Au"], "fractional_positions": [[0.1376, 0.1376, 0.0000], [0.8624, 0.8624, 0.0000], [0.0000, 0.5000, 0.5000], [0.3637, 0.3637, 0.0000], [0.5000, 0.0000, 0.5000], [0.6363, 0.6363, 0.0000], [0.2500, 0.7500, 0.5000], [0.7500, 0.2500, 0.5000]], "formation_energy_ev_per_atom": -0.203, "polymorph_energy_ev_per_fu": 0.00, "dft_energy_ev_per_cell": -38.050}